Pm4Ge2C | PBE | relaxed

DOS at the Fermi energy (states/eV per cell): 1.48
Total magnetization (Bohr magnetons per cell): 0.00
Formation energy (meV per atom): -509
Calculated total energy (eV per atom): -5.860
Space-group type: I4/mmm (139)
Offset from the most stable computed form (kcal/mol of atoms): 0.58

Cell lengths 8.561, 8.561, 8.561 Å; angles 147.00, 147.00, 47.36 degrees
Atoms (fractional coordinates):
Pm (0.000, 0.500, 0.500)
Pm (0.170, 0.170, 0.000)
Pm (0.500, 0.000, 0.500)
Pm (0.830, 0.830, 0.000)
Ge (0.364, 0.364, 0.000)
Ge (0.636, 0.636, 0.000)
C (0.000, 0.000, 0.000)